Record 1
# NaIn6Ag12, optimized geometry, DFT PBE
data_NaIn6Ag12
_cell_length_a 7.809
_cell_length_b 7.809
_cell_length_c 7.809
_cell_angle_alpha 106.97
_cell_angle_beta 106.97
_cell_angle_gamma 106.97
_space_group_name_H-M_alt 'P 1'
_space_group_IT_number 1
loop_
_space_group_symop_operation_xyz
'x,y,z'
loop_
_atom_site_label
_atom_site_type_symbol
_atom_site_fract_x
_atom_site_fract_y
_atom_site_fract_z
Ag1 Ag 0.837 0.271 0.142
Ag2 Ag 0.414 0.524 0.813
Ag3 Ag 0.813 0.414 0.524
Ag4 Ag 0.476 0.187 0.586
Ag5 Ag 0.187 0.586 0.476
Ag6 Ag 0.271 0.142 0.837
Ag7 Ag 0.858 0.163 0.729
Ag8 Ag 0.163 0.729 0.858
Ag9 Ag 0.524 0.813 0.414
Ag10 Ag 0.586 0.476 0.187
Ag11 Ag 0.142 0.837 0.271
Ag12 Ag 0.729 0.858 0.163
Na1 Na 0.000 0.000 0.000
In1 In 0.199 0.471 0.084
In2 In 0.916 0.801 0.529
In3 In 0.529 0.916 0.801
In4 In 0.801 0.529 0.916
In5 In 0.471 0.084 0.199
In6 In 0.084 0.199 0.471
# Spin magnetization = 0.00 μB per formula unit
# DOS(E_F) = 7.581 states/eV/cell
# Total energy = -2.72 eV per atom
# E_form = 10 meV/atom

---

Record 2
# NaBeNiSb2, optimized geometry, DFT PBE
data_NaBeNiSb2
_cell_length_a 4.969
_cell_length_b 4.197
_cell_length_c 4.969
_cell_angle_alpha 90.00
_cell_angle_beta 90.00
_cell_angle_gamma 90.00
_space_group_name_H-M_alt 'P 1'
_space_group_IT_number 1
loop_
_space_group_symop_operation_xyz
'x,y,z'
loop_
_atom_site_label
_atom_site_type_symbol
_atom_site_fract_x
_atom_site_fract_y
_atom_site_fract_z
Sb1 Sb 0.500 0.000 0.000
Sb2 Sb 0.000 0.000 0.500
Ni1 Ni 0.000 0.500 0.000
Na1 Na 0.500 0.500 0.500
Be1 Be 0.000 0.000 0.000
# Spin magnetization = 0.00 μB per formula unit
# DOS(E_F) = 2.862 states/eV/cell
# Total energy = -3.53 eV per atom
# Raw formation energy = 0.2865 eV/atom

---

Record 3
# ZnTe, optimized geometry, DFT PBE
data_ZnTe
_cell_length_a 4.299
_cell_length_b 4.295
_cell_length_c 6.750
_cell_angle_alpha 90.00
_cell_angle_beta 90.00
_cell_angle_gamma 90.00
_space_group_name_H-M_alt 'P 1'
_space_group_IT_number 1
loop_
_space_group_symop_operation_xyz
'x,y,z'
loop_
_atom_site_label
_atom_site_type_symbol
_atom_site_fract_x
_atom_site_fract_y
_atom_site_fract_z
Te1 Te 0.500 0.500 0.666
Te2 Te 0.000 0.000 0.167
Zn1 Zn 0.000 0.500 0.417
Zn2 Zn 0.500 0.000 0.416
# Spin magnetization = 0.00 μB per formula unit
# Total energy = -2.55 eV per atom
# Raw formation energy = -0.3413 eV/atom

---

Record 4
# UGa2Pt8, optimized geometry, DFT PBE
data_UGa2Pt8
_cell_length_a 4.116
_cell_length_b 6.606
_cell_length_c 7.545
_cell_angle_alpha 112.47
_cell_angle_beta 105.83
_cell_angle_gamma 90.00
_space_group_name_H-M_alt 'P 1'
_space_group_IT_number 1
loop_
_space_group_symop_operation_xyz
'x,y,z'
loop_
_atom_site_label
_atom_site_type_symbol
_atom_site_fract_x
_atom_site_fract_y
_atom_site_fract_z
Ga1 Ga 0.205 0.663 0.410
Ga2 Ga 0.795 0.337 0.590
Pt1 Pt 0.156 0.227 0.313
Pt2 Pt 0.607 0.458 0.214
Pt3 Pt 0.036 0.734 0.073
Pt4 Pt 0.676 0.935 0.353
Pt5 Pt 0.844 0.773 0.687
Pt6 Pt 0.964 0.266 0.927
Pt7 Pt 0.324 0.065 0.647
Pt8 Pt 0.393 0.542 0.786
U1 U 0.500 0.000 0.000
# Spin magnetization = 0.00 μB per formula unit
# DOS(E_F) = 4.530 states/eV/cell
# Total energy = -6.51 eV per atom
# E_form = -544 meV/atom